[1]
Entry from the Alexandria database: a relaxed SnHPd3 crystal (PBE-GGA).

## Properties
The value obtained for the energy above the most stable polymorph in this dataset is 67 meV per atom. The space-group type is P2_1/c.

POSCAR file:
```
SnHPd3
1.0
7.148 0.000 0.000
0.000 5.632 0.000
-6.057 0.000 7.155
Sn H Pd
4 4 12
Cartesian
-0.562 0.997 2.548
-3.590 1.819 6.126
4.681 3.813 1.029
1.653 4.636 4.606
0.912 4.013 1.534
-2.116 4.436 5.112
3.207 1.196 2.043
0.179 1.620 5.620
-5.999 1.402 7.149
-2.971 1.414 3.571
-0.333 3.781 2.888
-3.361 4.668 6.466
-0.809 0.088 5.172
2.219 2.728 1.594
-1.128 2.905 5.560
1.900 5.544 1.983
4.452 0.965 0.689
1.424 1.852 4.266
4.062 4.218 3.583
7.091 4.230 0.006
```

=====

[2]
Entry from the Alexandria database: a relaxed Ba3Mg2 crystal (PBE-GGA).

## Properties
The value obtained for the energy above the most stable polymorph in this dataset is 76 meV per atom. Its formation energy is 0.80 kcal/mol of atoms. The space-group type is P-3m1.

POSCAR file:
```
Ba3Mg2
1.0
6.149 0.000 0.000
-3.075 5.325 0.000
0.000 0.000 7.557
Ba Mg
3 2
Cartesian
0.000 0.000 0.000
0.000 3.550 2.561
3.075 1.775 4.996
0.000 3.550 6.505
3.075 1.775 1.053
```

=====

[3]
Entry from the Alexandria database: a relaxed LaNd2Y3Te6 crystal (PBE-GGA).

## Properties
The value obtained for the uncorrected formation energy is -1400.2 meV per atom. The space-group type is C2/m.

POSCAR file:
```
LaNd2Y3Te6
1.0
9.725 -2.206 0.000
9.725 2.206 0.000
-2.223 0.000 8.687
La Nd Y Te
1 2 3 6
Cartesian
0.000 0.000 0.000
4.983 0.000 5.766
12.245 0.000 2.920
-1.111 0.000 4.343
6.124 0.000 1.451
11.104 0.000 7.236
1.872 0.000 5.130
3.145 0.000 0.684
9.115 0.000 2.257
8.113 0.000 6.429
14.083 0.000 8.003
15.356 0.000 3.557
```

=====

[4]
Entry from the Alexandria database: a relaxed LaTbCe2S5 crystal (PBE-GGA).

## Properties
The value obtained for the uncorrected formation energy is -1525.2 meV per atom. The space-group type is P4/mmm.

POSCAR file:
```
LaTbCe2S5
1.0
4.939 0.000 0.000
0.000 4.939 0.000
0.000 0.000 10.628
La Tb Ce S
1 1 2 5
Cartesian
0.000 0.000 0.000
0.000 0.000 5.314
2.470 2.470 3.362
2.470 2.470 7.266
0.000 0.000 2.656
0.000 0.000 7.972
0.000 2.470 5.314
2.470 0.000 5.314
2.470 2.470 0.000
```

=====

[5]
Entry from the Alexandria database: a relaxed AlWBr3 crystal (PBE-GGA).

## Properties
The value obtained for the energy above the most stable polymorph in this dataset is 0 meV per atom. The value obtained for the uncorrected formation energy is 427.2 meV per atom. The space-group type is Pm-3m.

POSCAR file:
```
AlWBr3
1.0
5.257 0.000 0.000
0.000 5.257 0.000
0.000 0.000 5.257
Al W Br
1 1 3
Cartesian
0.000 0.000 0.000
2.628 2.628 2.628
0.000 2.628 2.628
2.628 0.000 2.628
2.628 2.628 0.000
```

=====

[6]
Entry from the Alexandria database: a relaxed YMg2Fe crystal (PBE-GGA).

## Properties
Its formation energy is 3.28 kcal/mol of atoms. The space-group type is Immm.

POSCAR file:
```
YMg2Fe
1.0
-1.616 2.469 5.349
1.616 -2.469 5.349
1.616 2.469 -5.349
Y Mg Fe
1 2 1
Cartesian
0.000 0.000 0.000
1.616 0.000 3.098
0.000 2.469 2.251
0.000 0.000 5.349
```

=====

| no. | total DFT energy (no corrections) (eV/atom) |
| --- | --- |
| 1 | -4.911 |
| 2 | -1.757 |
| 3 | -5.792 |
| 4 | -6.199 |
| 5 | -3.916 |
| 6 | -4.387 |